A relaxed Cs4Hg2N crystal. Source: Alexandria, functional PBE.

Unit cell a=6.385 b=6.385 c=19.804 alpha=90.00 beta=90.00 gamma=90.00
Space group I4/mmm (No. 139)
Symmetry-distinct sites (fractional):
Cs 0.000 0.000 0.192 x4
Cs 0.000 0.500 0.000 x4
Hg 0.000 0.000 0.387 x4
N 0.000 0.000 0.500 x2

Computed properties:
ΔE_f (raw) in meV per atom: 152